NaMoF2 | PBE+U | relaxed

a = 2.9053 Å, b = 2.9053 Å, c = 21.0058 Å
α = 90.00°, β = 90.00°, γ = 120.00°
Space group R-3m (No. 166, hexagonal axes)
One atom of each set of equivalent atoms:
Na 0.0000 0.0000 0.0000 (multiplicity 3)
Mo 0.0000 0.0000 0.5000 (multiplicity 3)
F 0.0000 0.0000 0.4008 (multiplicity 6)

Summary:
Its total energy is -4.46 eV per atom. The magnetic moment is 0.0 μB/f.u. The calculation puts the energy above the most stable polymorph in this dataset at 36 meV/atom.